A plane-wave DFT calculation with PBE-GGA was carried out for a relaxed Pm2USe4 crystal.

It has space group Cmcm (No. 63), with a = 4.063 Å, b = 13.851 Å, c = 13.904 Å, α = 90.00°, β = 90.00° and γ = 90.00°. The distinct sites, in fractional coordinates, are Pm at (0.000, 0.133, 0.068), U at (0.000, 0.378, 0.250), Se at (0.000, 0.028, 0.250), Se at (0.000, 0.224, 0.627) and Se at (0.000, 0.500, 0.000).

Its total energy is -6.515 eV/atom. Its volume is 782.56 Å³ per cell. For the uncorrected formation energy, the calculation gives -1.554 eV/atom.